Entry 1:
VASP calculation (PBE-GGA) on a geometry-optimized PmNi2Ge structure.

Structure (CIF):
```
data_PmNi2Ge
_chemical_formula_sum 'Pm1 Ni2 Ge1'
_cell_length_a 4.343
_cell_length_b 4.343
_cell_length_c 3.576
_cell_angle_alpha 90.00
_cell_angle_beta 90.00
_cell_angle_gamma 90.00
_space_group_name_H-M_alt 'P 4/m m m'
_space_group_IT_number 123
_space_group_name_Hall '-P 4 2'
loop_
_atom_site_label
_atom_site_type_symbol
_atom_site_fract_x
_atom_site_fract_y
_atom_site_fract_z
Pm1 Pm 0.000 0.000 0.000
Ni1 Ni 0.000 0.500 0.500
Ge1 Ge 0.500 0.500 0.000
```

Output
- VASP energy (eV/atom) = -5.42
- total magnetic moment (μB per formula unit) = 0.0
- ΔE_f (meV per atom) = -184.6
- volume (Å³/atom) = 16.86


Entry 2:
VASP calculation (PBE-GGA) on a geometry-optimized K2TiMo structure.

Structure (CIF):
```
data_K2TiMo
_chemical_formula_sum 'K8 Ti4 Mo4'
_cell_length_a 8.158
_cell_length_b 8.158
_cell_length_c 8.158
_cell_angle_alpha 90.00
_cell_angle_beta 90.00
_cell_angle_gamma 90.00
_space_group_name_H-M_alt 'F m -3 m'
_space_group_IT_number 225
_space_group_name_Hall '-F 4 2 3'
loop_
_atom_site_label
_atom_site_type_symbol
_atom_site_fract_x
_atom_site_fract_y
_atom_site_fract_z
K1 K 0.250 0.250 0.250
Ti1 Ti 0.000 0.000 0.000
Mo1 Mo 0.000 0.000 0.500
```

Output
- VASP energy (eV/atom) = -3.37
- distance to the lowest polymorph of the same formula (eV/atom) = 0.4670
- total magnetic moment (μB per formula unit) = 1.7
- ΔE_f (meV per atom) = 1856.9
- volume (Å³/atom) = 33.93


Entry 3:
VASP calculation (PBE-GGA) on a geometry-optimized YIr2Pb2 structure.

Structure (CIF):
```
data_YIr2Pb2
_chemical_formula_sum 'Y2 Ir4 Pb4'
_cell_length_a 7.298
_cell_length_b 7.298
_cell_length_c 4.186
_cell_angle_alpha 90.00
_cell_angle_beta 90.00
_cell_angle_gamma 90.00
_space_group_name_H-M_alt 'P 4/m b m'
_space_group_IT_number 127
_space_group_name_Hall '-P 4 2ab'
loop_
_atom_site_label
_atom_site_type_symbol
_atom_site_fract_x
_atom_site_fract_y
_atom_site_fract_z
Y1 Y 0.000 0.000 0.000
Ir1 Ir 0.127 0.373 0.000
Pb1 Pb 0.174 0.674 0.500
```

Output
- VASP energy (eV/atom) = -6.34
- distance to the lowest polymorph of the same formula (eV/atom) = 0.0241
- total magnetic moment (μB per formula unit) = 0.0
- ΔE_f (meV per atom) = -21.8
- volume (Å³/atom) = 22.30


Entry 4:
VASP calculation (PBE-GGA) on a geometry-optimized VCdPt2 structure.

Structure (CIF):
```
data_VCdPt2
_chemical_formula_sum 'V1 Cd1 Pt2'
_cell_length_a 4.758
_cell_length_b 4.758
_cell_length_c 2.905
_cell_angle_alpha 90.00
_cell_angle_beta 90.00
_cell_angle_gamma 90.00
_space_group_name_H-M_alt 'P 4/m m m'
_space_group_IT_number 123
_space_group_name_Hall '-P 4 2'
loop_
_atom_site_label
_atom_site_type_symbol
_atom_site_fract_x
_atom_site_fract_y
_atom_site_fract_z
V1 V 0.000 0.000 0.000
Cd1 Cd 0.500 0.500 0.000
Pt1 Pt 0.000 0.500 0.500
```

Output
- VASP energy (eV/atom) = -5.74
- total magnetic moment (μB per formula unit) = 2.0
- ΔE_f (meV per atom) = -216.0
- volume (Å³/atom) = 16.44